This record from Alexandria via LeMat-Bulk describes crystalline DyMgMoO4 at its relaxed geometry. The functional is PBE with a Hubbard U.

Unit cell a=6.4254 b=6.4465 c=6.4465 alpha=61.37 beta=60.11 gamma=60.11
Positions (direct):
Dy 0.0000 0.0000 0.0000
Dy 0.0000 0.5000 0.5000
Mg 0.6183 0.6317 0.1317
Mg 0.3817 0.3683 0.8683
Mo 0.5000 0.0000 0.5000
Mo 0.0000 0.0000 0.5000
O 0.7468 0.7720 0.7344
O 0.2532 0.7656 0.7280
O 0.7468 0.2344 0.2720
O 0.2532 0.2280 0.2656
O 0.2330 0.7580 0.2580
O 0.7510 0.7580 0.2580
O 0.2490 0.2420 0.7420
O 0.7670 0.2420 0.7420

Output
space group = Imma, No. 74
energy = -7.2947 eV/atom